Record 1
The following is a PBE calculation of an optimized crystal structure of MgTlCu2, from Alexandria.

Properties
E_form ... 0.167 eV/atom
Theoretical density ... 8.632 Mg/m³
Space-group type ... F-43m

Structure (POSCAR):
```
MgTlCu2
1.0
0.000 3.247 3.247
3.247 0.000 3.247
3.247 3.247 0.000
Mg Tl Cu
1 1 2
Cartesian
0.000 0.000 0.000
4.870 4.870 4.870
1.623 1.623 1.623
3.247 3.247 3.247
```



Record 2
The following is a PBE calculation of an optimized crystal structure of Pm2CdAg5, from Alexandria.

Properties
Energy relative to the lowest polymorph listed for this composition ... 0 meV/atom
E_form ... -0.167 eV/atom
Theoretical density ... 8.423 Mg/m³
Space-group type ... Cmcm

Structure (POSCAR):
```
Pm2CdAg5
1.0
2.100 -8.778 0.000
2.100 8.778 0.000
0.000 0.000 10.071
Pm Cd Ag
4 2 10
Cartesian
0.000 0.000 0.000
0.000 0.000 5.036
2.100 5.488 7.553
2.100 -5.488 2.518
2.100 0.652 2.518
2.100 -0.652 7.553
2.100 5.175 1.045
2.100 5.175 3.990
2.100 2.357 0.295
2.100 2.357 4.740
2.100 2.104 7.553
2.100 -2.104 2.518
2.100 -2.357 5.331
2.100 -2.357 9.776
2.100 -5.175 6.081
2.100 -5.175 9.026
```



| no. | total magnetic moment (μB/f.u.) |
| --- | --- |
| 1 | 0.0 |
| 2 | 0.0 |